This record from Alexandria describes KNb2BiO after structural relaxation. The functional is GGA-PBEsol.

## Properties
crystal system	tetragonal
formation energy from raw total energies	9.23	eV/f.u.
total DFT energy (no corrections)	-4.617	eV/atom
size of the total moment	3.04	μB/cell

Lattice parameters (Å, degrees): 4.997 4.997 4.168 90.00 90.00 90.00
Positions (direct):
K: 0.000 0.000 0.000
Nb: 0.000 0.500 0.000
Nb: 0.500 0.000 0.000
Bi: 0.500 0.500 0.500
O: 0.000 0.000 0.500

---

This record from Alexandria describes KNi2BiO after structural relaxation. The functional is GGA-PBEsol.

## Properties
crystal system	tetragonal
formation energy from raw total energies	6.59	eV/f.u.
total DFT energy (no corrections)	-3.278	eV/atom
size of the total moment	0.00	μB/cell

Lattice parameters (Å, degrees): 4.407 4.407 4.511 90.00 90.00 90.00
Positions (direct):
K: 0.000 0.000 0.000
Ni: 0.000 0.500 0.000
Ni: 0.500 0.000 0.000
Bi: 0.500 0.500 0.500
O: 0.000 0.000 0.500

---

This record from Alexandria describes KBiO3 after structural relaxation. The functional is GGA-PBEsol.

## Properties
crystal system	monoclinic
formation energy from raw total energies	-5.86	eV/f.u.
total DFT energy (no corrections)	-5.405	eV/atom
size of the total moment	0.00	μB/cell

Lattice parameters (Å, degrees): 8.625 8.625 10.025 123.98 123.98 72.11
Positions (direct):
K: 0.000 0.500 0.000
K: 0.016 0.683 0.693
K: 0.317 0.984 0.307
K: 0.500 0.000 0.000
K: 0.683 0.016 0.693
K: 0.984 0.317 0.307
Bi: 0.159 0.159 0.661
Bi: 0.341 0.659 0.500
Bi: 0.498 0.498 0.158
Bi: 0.502 0.502 0.842
Bi: 0.659 0.341 0.500
Bi: 0.841 0.841 0.339
O: 0.006 0.006 0.364
O: 0.047 0.622 0.342
O: 0.284 0.284 0.950
O: 0.289 0.289 0.620
O: 0.330 0.662 0.283
O: 0.338 0.670 0.717
O: 0.359 0.359 0.370
O: 0.359 0.641 0.000
O: 0.378 0.953 0.658
O: 0.622 0.047 0.342
O: 0.641 0.359 0.000
O: 0.641 0.641 0.630
O: 0.662 0.330 0.283
O: 0.670 0.338 0.717
O: 0.711 0.711 0.380
O: 0.716 0.716 0.050
O: 0.953 0.378 0.658
O: 0.994 0.994 0.636

---

This record from Alexandria describes K3BiO3 after structural relaxation. The functional is GGA-PBEsol.

## Properties
crystal system	cubic
formation energy from raw total energies	-9.70	eV/f.u.
total DFT energy (no corrections)	-4.733	eV/atom
size of the total moment	0.00	μB/cell

Lattice parameters (Å, degrees): 9.237 9.237 9.237 109.47 109.47 109.47
Positions (direct):
K: 0.000 0.272 0.517
K: 0.000 0.517 0.272
K: 0.245 0.728 0.728
K: 0.272 0.000 0.517
K: 0.272 0.517 0.000
K: 0.483 0.483 0.755
K: 0.483 0.755 0.483
K: 0.517 0.000 0.272
K: 0.517 0.272 0.000
K: 0.728 0.245 0.728
K: 0.728 0.728 0.245
K: 0.755 0.483 0.483
Bi: 0.000 0.000 0.706
Bi: 0.000 0.706 0.000
Bi: 0.294 0.294 0.294
Bi: 0.706 0.000 0.000
O: 0.000 0.528 0.788
O: 0.000 0.788 0.528
O: 0.212 0.212 0.739
O: 0.212 0.739 0.212
O: 0.261 0.472 0.472
O: 0.472 0.261 0.472
O: 0.472 0.472 0.261
O: 0.528 0.000 0.788
O: 0.528 0.788 0.000
O: 0.739 0.212 0.212
O: 0.788 0.000 0.528
O: 0.788 0.528 0.000

---

Ρ: 7.18, 7.23, 5.75, 4.10 (g cm⁻³)